First-principles (GGA-PBEsol) data for a relaxed structure of Li2PbCl, as listed in the Alexandria database.

Summary:
Its crystal system is orthorhombic. The space-group type is Immm. The volume comes out at 24.28 A^3/atom. The calculation puts the energy above the most stable polymorph in this dataset at 0 meV per atom.

a b c (Å): 3.2413 5.7538 5.7538
angles (deg): 75.67 73.64 73.64
Last column: nearest neighbours and their distance in Å.
Fractional positions:
Li 0.6960 0.3040 0.3040  2 Cl 2.32
Pb 0.5000 0.0000 0.0000  4 Li 3.05, 2 Pb 3.24
Cl 0.0000 0.5000 0.5000  4 Li 2.32
Li 0.3040 0.6960 0.6960  2 Cl 2.32


First-principles (GGA-PBEsol) data for a relaxed structure of LaIn3Ir, as listed in the Alexandria database.

Summary:
Its crystal system is cubic. The formation energy comes out at -0.20 eV/atom. The space-group type is Pm-3m. The volume comes out at 26.12 A^3/atom.

a b c (Å): 5.0733 5.0733 5.0733
angles (deg): 90.00 90.00 90.00
Last column: nearest neighbours and their distance in Å.
Fractional positions:
In 0.5000 0.0000 0.0000  2 Ir 2.54
In 0.0000 0.5000 0.0000  2 Ir 2.54
In 0.0000 0.0000 0.5000  2 Ir 2.54
Ir 0.0000 0.0000 0.0000  6 In 2.54
La 0.5000 0.5000 0.5000  12 In 3.59


First-principles (GGA-PBEsol) data for a relaxed structure of LiCa2Au, as listed in the Alexandria database.

Summary:
Its crystal system is tetragonal. The formation energy comes out at -0.38 eV/atom. The space-group type is P4/mmm. The volume comes out at 24.54 A^3/atom.

a b c (Å): 3.7997 5.0827 5.0827
angles (deg): 90.00 90.00 90.00
Last column: nearest neighbours and their distance in Å.
Fractional positions:
Ca 0.0000 0.0000 0.5000  4 Li 3.17, 4 Au 3.17
Au 0.5000 0.0000 0.0000  8 Ca 3.17
Li 0.5000 0.5000 0.5000  8 Ca 3.17
Ca 0.0000 0.5000 0.0000  4 Li 3.17, 4 Au 3.17


First-principles (GGA-PBEsol) data for a relaxed structure of La2Y, as listed in the Alexandria database.

Summary:
Its crystal system is orthorhombic. The formation energy comes out at 0.01 eV/atom. The space-group type is Immm. The volume comes out at 32.77 A^3/atom. The calculation puts the energy above the most stable polymorph in this dataset at 0 meV per atom.

a b c (Å): 3.5913 5.1227 6.1917
angles (deg): 114.44 106.86 90.00
Last column: nearest neighbours and their distance in Å.
Fractional positions:
La 0.8262 0.8262 0.6524  5 Y 3.49-3.64, 7 La 3.53-3.71
La 0.1738 0.1738 0.3476  5 Y 3.49-3.64, 7 La 3.53-3.71
Y 0.5000 0.5000 0.0000  10 La 3.49-3.64, 2 Y 3.59


First-principles (GGA-PBEsol) data for a relaxed structure of Mn2SnPdO, as listed in the Alexandria database.

Summary:
Its crystal system is tetragonal. Its total energy is -5.492 eV per atom. The space-group type is P4/mmm. The volume comes out at 24.88 A^3/atom.

a b c (Å): 4.8590 5.0595 5.0595
angles (deg): 90.00 90.00 90.00
Last column: nearest neighbours and their distance in Å.
Fractional positions:
Sn 0.0000 0.0000 0.0000  2 Pd 2.43, 4 Mn 2.53
Pd 0.5000 0.0000 0.0000  2 Sn 2.43
Mn 0.0000 0.0000 0.5000  2 Sn 2.53
O 0.5000 0.5000 0.5000  8 Mn 3.51, 4 Pd 3.58
Mn 0.0000 0.5000 0.0000  2 Sn 2.53


First-principles (GGA-PBEsol) data for a relaxed structure of MnTcRh2, as listed in the Alexandria database.

Summary:
Its crystal system is orthorhombic. The formation energy comes out at -0.07 eV/atom. The space-group type is Pmmm. The volume comes out at 13.12 A^3/atom. The calculation puts the energy above the most stable polymorph in this dataset at 0 meV per atom.

a b c (Å): 2.6594 3.7382 5.2803
angles (deg): 90.00 90.00 90.00
Last column: nearest neighbours and their distance in Å.
Fractional positions:
Rh 0.0000 0.0000 0.7481  4 Rh 2.62-2.66, 4 Mn 2.64, 4 Tc 2.65
Mn 0.5000 0.5000 0.5000  2 Tc 2.64, 8 Rh 2.64, 2 Mn 2.66
Tc 0.5000 0.5000 0.0000  2 Mn 2.64, 8 Rh 2.65, 2 Tc 2.66
Rh 0.0000 0.0000 0.2520  4 Rh 2.62-2.66, 4 Mn 2.64, 4 Tc 2.65


First-principles (GGA-PBEsol) data for a relaxed structure of LiMgCu2, as listed in the Alexandria database.

Summary:
Its crystal system is tetragonal. The formation energy comes out at -0.01 eV/atom. The space-group type is I4/mmm. The volume comes out at 13.53 A^3/atom.

a b c (Å): 3.7775 3.7775 4.6391
angles (deg): 114.02 114.02 90.00
Last column: nearest neighbours and their distance in Å.
Fractional positions:
Li 0.5000 0.5000 0.0000  4 Mg 2.67, 8 Cu 2.68
Cu 0.7500 0.2500 0.5000  4 Cu 2.67, 4 Li 2.68, 4 Mg 2.68
Cu 0.2500 0.7500 0.5000  4 Cu 2.67, 4 Li 2.68, 4 Mg 2.68
Mg 0.0000 0.0000 0.0000  4 Li 2.67, 8 Cu 2.68


First-principles (GGA-PBEsol) data for a relaxed structure of CrMo2Os, as listed in the Alexandria database.

Summary:
Its crystal system is tetragonal. The formation energy comes out at 0.15 eV/atom. The space-group type is P4/mmm. The volume comes out at 13.98 A^3/atom. The calculation puts the energy above the most stable polymorph in this dataset at 28 meV per atom.

a b c (Å): 3.0106 3.0106 6.1693
angles (deg): 90.00 90.00 90.00
Last column: nearest neighbours and their distance in Å.
Fractional positions:
Mo 0.0000 0.0000 0.7302  4 Cr 2.56, 4 Os 2.70, 1 Mo 2.84
Cr 0.5000 0.5000 0.5000  8 Mo 2.56
Os 0.5000 0.5000 0.0000  8 Mo 2.70, 4 Os 3.01
Mo 0.0000 0.0000 0.2698  4 Cr 2.56, 4 Os 2.70, 1 Mo 2.84


First-principles (GGA-PBEsol) data for a relaxed structure of Mn2ZnInGe, as listed in the Alexandria database.

Summary:
Its crystal system is tetragonal. The formation energy comes out at 0.87 eV/atom. The space-group type is P4/mmm. The volume comes out at 22.07 A^3/atom.

a b c (Å): 4.6372 4.6372 5.1325
angles (deg): 90.00 90.00 90.00
Last column: nearest neighbours and their distance in Å.
Fractional positions:
In 0.0000 0.0000 0.5000  2 Ge 2.57
Ge 0.0000 0.0000 0.0000  4 Mn 2.32, 2 In 2.57
Zn 0.5000 0.5000 0.5000  4 In 3.28, 8 Mn 3.46
Mn 0.5000 0.0000 0.0000  2 Ge 2.32
Mn 0.0000 0.5000 0.0000  2 Ge 2.32


First-principles (GGA-PBEsol) data for a relaxed structure of BaCaTc, as listed in the Alexandria database.

Summary:
Its crystal system is cubic. The formation energy comes out at 1.48 eV/atom. The space-group type is F-43m. The volume comes out at 30.80 A^3/atom. The calculation puts the energy above the most stable polymorph in this dataset at 584 meV per atom.

a b c (Å): 5.0745 5.0745 5.0745
angles (deg): 60.00 60.00 60.00
Last column: nearest neighbours and their distance in Å.
Fractional positions:
Ca 0.2500 0.2500 0.2500  4 Ba 3.11, 4 Tc 3.11
Tc 0.0000 0.0000 0.0000  4 Ca 3.11
Ba 0.5000 0.5000 0.5000  4 Ca 3.11


First-principles (GGA-PBEsol) data for a relaxed structure of ZrCrRu, as listed in the Alexandria database.

Summary:
Its crystal system is trigonal. The formation energy comes out at 0.34 eV/atom. The space-group type is P3m1. The volume comes out at 15.15 A^3/atom. The calculation puts the energy above the most stable polymorph in this dataset at 0 meV per atom.

a b c (Å): 2.7668 2.7668 6.8568
angles (deg): 90.00 90.00 120.00
Last column: nearest neighbours and their distance in Å.
Fractional positions:
Ru 0.3333 0.6667 0.6977  3 Cr 2.46
Zr 0.6667 0.3333 0.3314  6 Zr 2.77, 3 Cr 2.94, 3 Ru 2.98
Cr 0.0000 0.0000 0.9709  3 Ru 2.46


First-principles (GGA-PBEsol) data for a relaxed structure of Cu3P, as listed in the Alexandria database.

Summary:
Its crystal system is tetragonal. The formation energy comes out at -0.02 eV/atom. The space-group type is I4/mmm. The volume comes out at 11.58 A^3/atom.

a b c (Å): 3.5846 3.5846 7.6412
angles (deg): 103.57 103.57 90.00
Last column: nearest neighbours and their distance in Å.
Fractional positions:
Cu 0.7500 0.2500 0.5000  4 P 2.51, 8 Cu 2.53-2.56
P 0.3718 0.3718 0.7437  12 Cu 2.51-2.57
Cu 0.2500 0.7500 0.5000  4 P 2.51, 8 Cu 2.53-2.56
Cu 0.0000 0.5000 0.0000  8 Cu 2.52-2.53, 4 P 2.57
Cu 0.1229 0.1229 0.2458  8 Cu 2.52-2.56, 4 P 2.54
Cu 0.5000 0.0000 0.0000  8 Cu 2.52-2.53, 4 P 2.57
P 0.6282 0.6282 0.2563  12 Cu 2.51-2.57
Cu 0.8771 0.8771 0.7542  8 Cu 2.52-2.56, 4 P 2.54


First-principles (GGA-PBEsol) data for a relaxed structure of Zr2InCl, as listed in the Alexandria database.

Summary:
Its crystal system is orthorhombic. The space-group type is Immm. The volume comes out at 20.72 A^3/atom. The calculation puts the energy above the most stable polymorph in this dataset at 132 meV per atom.

a b c (Å): 3.1419 5.6338 5.6863
angles (deg): 119.70 106.04 90.00
Last column: nearest neighbours and their distance in Å.
Fractional positions:
In 0.0000 0.5000 0.0000  4 Zr 3.05, 2 In 3.14, 4 Cl 3.23
Zr 0.2212 0.2212 0.4424  2 Cl 2.60
Zr 0.7788 0.7788 0.5576  2 Cl 2.60
Cl 0.5000 0.0000 0.0000  4 Zr 2.60


First-principles (GGA-PBEsol) data for a relaxed structure of HgAsBr, as listed in the Alexandria database.

Summary:
Its crystal system is cubic. The space-group type is F-43m. The volume comes out at 25.96 A^3/atom. The calculation puts the energy above the most stable polymorph in this dataset at 0 meV per atom.

a b c (Å): 4.7935 4.7935 4.7935
angles (deg): 60.00 60.00 60.00
Last column: nearest neighbours and their distance in Å.
Fractional positions:
Hg 0.5000 0.5000 0.5000  4 As 2.94
As 0.7500 0.7500 0.7500  4 Hg 2.94, 4 Br 2.94
Br 0.0000 0.0000 0.0000  4 As 2.94


First-principles (GGA-PBEsol) data for a relaxed structure of SrTlGa2, as listed in the Alexandria database.

Summary:
Its crystal system is cubic. The formation energy comes out at -0.20 eV/atom. The space-group type is Fm-3m. The volume comes out at 24.31 A^3/atom.

a b c (Å): 5.1620 5.1620 5.1620
angles (deg): 60.00 60.00 60.00
Last column: nearest neighbours and their distance in Å.
Fractional positions:
Sr 0.0000 0.0000 0.0000  8 Ga 3.16
Ga 0.7500 0.7500 0.7500  4 Sr 3.16, 4 Tl 3.16
Tl 0.5000 0.5000 0.5000  8 Ga 3.16
Ga 0.2500 0.2500 0.2500  4 Sr 3.16, 4 Tl 3.16


First-principles (GGA-PBEsol) data for a relaxed structure of KPb3O, as listed in the Alexandria database.

Summary:
Its crystal system is cubic. Its total energy is -3.931 eV per atom. The space-group type is Pm-3m. The volume comes out at 26.73 A^3/atom.

a b c (Å): 5.1128 5.1128 5.1128
angles (deg): 90.00 90.00 90.00
Last column: nearest neighbours and their distance in Å.
Fractional positions:
Pb 0.0000 0.5000 0.0000  2 O 2.56
Pb 0.0000 0.0000 0.5000  2 O 2.56
O 0.0000 0.0000 0.0000  6 Pb 2.56
K 0.5000 0.5000 0.5000  12 Pb 3.62
Pb 0.5000 0.0000 0.0000  2 O 2.56


First-principles (GGA-PBEsol) data for a relaxed structure of Li4MnOF4, as listed in the Alexandria database.

Summary:
Its crystal system is tetragonal. Its total energy is -5.577 eV per atom. The space-group type is I4/m. The volume comes out at 8.98 A^3/atom.

a b c (Å): 3.9589 5.1584 5.1584
angles (deg): 81.53 67.43 67.43
Last column: nearest neighbours and their distance in Å.
Fractional positions:
Li 0.2096 0.2018 0.3790  4 F 1.98-2.17, 1 O 2.05
F 0.8938 0.4196 0.7928  4 Li 1.98-2.17
O 0.5000 0.0000 0.0000  2 Mn 1.98, 4 Li 2.05
F 0.3134 0.7928 0.5804  4 Li 1.98-2.17
F 0.1062 0.5804 0.2072  4 Li 1.98-2.17
Li 0.5886 0.6210 0.2018  4 F 1.98-2.17, 1 O 2.05
Li 0.7904 0.7982 0.6210  4 F 1.98-2.17, 1 O 2.05
Mn 0.0000 0.0000 0.0000  2 O 1.98
Li 0.4114 0.3790 0.7982  4 F 1.98-2.17, 1 O 2.05
F 0.6866 0.2072 0.4196  4 Li 1.98-2.17


First-principles (GGA-PBEsol) data for a relaxed structure of YGa2BP, as listed in the Alexandria database.

Summary:
Its crystal system is tetragonal. The formation energy comes out at -0.23 eV/atom. The space-group type is P4/mmm. The volume comes out at 17.18 A^3/atom.

a b c (Å): 4.0442 4.0442 5.2518
angles (deg): 90.00 90.00 90.00
Last column: nearest neighbours and their distance in Å.
Fractional positions:
Y 0.0000 0.0000 0.5000  2 B 2.63, 4 P 2.86
P 0.5000 0.5000 0.5000  4 Y 2.86
Ga 0.0000 0.5000 0.0000  2 B 2.02
Ga 0.5000 0.0000 0.0000  2 B 2.02
B 0.0000 0.0000 0.0000  4 Ga 2.02


First-principles (GGA-PBEsol) data for a relaxed structure of MnCuMo3, as listed in the Alexandria database.

Summary:
Its crystal system is cubic. The formation energy comes out at 1.80 eV/atom. The space-group type is Pm-3m. The volume comes out at 17.53 A^3/atom.

a b c (Å): 4.4420 4.4420 4.4420
angles (deg): 90.00 90.00 90.00
Last column: nearest neighbours and their distance in Å.
Fractional positions:
Mo 0.0000 0.0000 0.5000  2 Cu 2.22
Cu 0.0000 0.0000 0.0000  6 Mo 2.22
Mo 0.0000 0.5000 0.0000  2 Cu 2.22
Mn 0.5000 0.5000 0.5000  12 Mo 3.14
Mo 0.5000 0.0000 0.0000  2 Cu 2.22


First-principles (GGA-PBEsol) data for a relaxed structure of LiSc2CrIn, as listed in the Alexandria database.

Summary:
Its crystal system is tetragonal. The formation energy comes out at 0.49 eV/atom. The space-group type is P4/mmm. The volume comes out at 21.53 A^3/atom.

a b c (Å): 4.7301 4.7301 4.8107
angles (deg): 90.00 90.00 90.00
Last column: nearest neighbours and their distance in Å.
Fractional positions:
Sc 0.5000 0.0000 0.0000  2 Cr 2.37
In 0.5000 0.5000 0.5000  4 Li 3.34, 8 Sc 3.37
Cr 0.0000 0.0000 0.0000  4 Sc 2.37, 2 Li 2.41
Sc 0.0000 0.5000 0.0000  2 Cr 2.37
Li 0.0000 0.0000 0.5000  2 Cr 2.41